The following is a DFT calculation (PBE with a Hubbard U) of a relaxed Rb2AlVO4 crystal.

a = 5.1968 Å, b = 6.6835 Å, c = 10.7290 Å
α = 84.60°, β = 75.98°, γ = 67.12°
With the nearest neighbours (Å) after each atom.
Atoms (fractional coordinates):
Rb 0.1762 0.0000 0.6477  8 O 3.18-3.46
Rb 0.8238 0.0000 0.3523  8 O 3.18-3.46
Rb 0.5738 0.5000 0.8523  8 O 3.18-3.46
Rb 0.9262 0.5000 0.1477  8 O 3.18-3.46
Al 0.2500 0.5000 0.5000  4 O 1.80
Al 0.5000 0.0000 0.0000  4 O 1.80
V 0.7500 0.5000 0.5000  4 O 1.93
V 0.0000 0.0000 0.0000  4 O 1.93
O 0.3076 0.8364 0.0839  1 Al 1.80, 1 V 1.93
O 0.2278 0.1636 0.9161  1 Al 1.80, 1 V 1.93
O 0.8561 0.8364 0.9161  1 Al 1.80, 1 V 1.93
O 0.6086 0.1636 0.0839  1 Al 1.80, 1 V 1.93
O 0.4424 0.6636 0.4161  1 Al 1.80, 1 V 1.93
O 0.5222 0.3364 0.5839  1 Al 1.80, 1 V 1.93
O 0.8939 0.6636 0.5839  1 Al 1.80, 1 V 1.93
O 0.1414 0.3364 0.4161  1 Al 1.80, 1 V 1.93

## Properties
Theoretical density ... 3.119 g cm⁻³
E_tot ... -6.106 eV/atom